Record 1
# K2Sr2IrO6

A geometry-optimized K2Sr2IrO6 structure (PBE, Alexandria via LeMat-Bulk).

abc: 6.0246 6.0246 6.5648
angles: 97.80 97.80 118.40
With the nearest neighbours (Å) after each atom.
Atoms (fractional coordinates):
K  0.8418  0.1582  0.0000  4 O 2.68-2.70
K  0.1582  0.8418  0.0000  4 O 2.68-2.70
Sr  0.3375  0.6625  0.5000  6 O 2.49-2.52
Sr  0.6625  0.3375  0.5000  6 O 2.49-2.52
Ir  0.0000  0.0000  0.5000  6 O 1.99
O  0.7893  0.7893  0.6825  1 Ir 1.99
O  0.0466  0.3229  0.6747  1 Ir 1.99
O  0.2107  0.2107  0.3175  1 Ir 1.99
O  0.3229  0.0466  0.6747  1 Ir 1.99
O  0.9534  0.6771  0.3253  1 Ir 1.99
O  0.6771  0.9534  0.3253  1 Ir 1.99

Values from the calculation:
Formation energy from raw total energies   -1.72 eV per atom

Record 2
# K3Sr2IrO6

A geometry-optimized K3Sr2IrO6 structure (PBE, Alexandria via LeMat-Bulk).

abc: 6.1206 6.1206 6.5004
angles: 99.08 99.08 120.00
With the nearest neighbours (Å) after each atom.
Atoms (fractional coordinates):
K  0.1614  0.8386  0.5000  4 O 2.67-2.69
K  0.8386  0.1614  0.5000  4 O 2.67-2.69
K  0.5000  0.5000  0.5000  4 O 2.69
Sr  0.3328  0.6672  0.0000  6 O 2.52
Sr  0.6672  0.3328  0.0000  6 O 2.52
Ir  0.0000  0.0000  0.0000  6 O 2.05-2.06
O  0.9365  0.6596  0.8102  1 Ir 2.06
O  0.7857  0.7857  0.1869  1 Ir 2.05
O  0.0635  0.3404  0.1898  1 Ir 2.06
O  0.6596  0.9365  0.8102  1 Ir 2.06
O  0.2143  0.2143  0.8131  1 Ir 2.05
O  0.3404  0.0635  0.1898  1 Ir 2.06

Values from the calculation:
Formation energy from raw total energies   -1.69 eV per atom

Record 3
# KSrIrO4

A geometry-optimized KSrIrO4 structure (PBE, Alexandria via LeMat-Bulk).

abc: 3.9723 3.9723 7.0608
angles: 106.34 106.34 90.00
With the nearest neighbours (Å) after each atom.
Atoms (fractional coordinates):
K  0.6509  0.6509  0.3018  9 O 2.59-2.88
Sr  0.3557  0.3557  0.7114  9 O 2.58-2.81
Ir  0.0065  0.0065  0.0130  6 O 1.94-2.02
O  0.9898  0.4898  0.9795  2 Ir 2.00
O  0.4898  0.9898  0.9795  2 Ir 2.00
O  0.8507  0.8507  0.7015  1 Ir 2.02
O  0.1566  0.1566  0.3132  1 Ir 1.94

Values from the calculation:
Formation energy from raw total energies   -1.50 eV per atom

Record 4
# K2TaIrO6

A geometry-optimized K2TaIrO6 structure (PBE, Alexandria via LeMat-Bulk).

abc: 5.6303 5.6303 5.6310
angles: 120.01 120.01 89.99
With the nearest neighbours (Å) after each atom.
Atoms (fractional coordinates):
K  0.7499  0.2502  0.4996  12 O 2.81-2.82
K  0.2497  0.7504  0.4996  12 O 2.81-2.82
Ta  0.4999  0.5004  0.9998  6 O 2.00
Ir  0.9999  0.0004  0.9998  6 O 1.98
O  0.7509  0.7514  0.9998  1 Ir 1.98, 1 Ta 2.00
O  0.7507  0.7512  0.5017  1 Ir 1.98, 1 Ta 2.00
O  0.2489  0.2494  0.9999  1 Ir 1.98, 1 Ta 2.00
O  0.7510  0.2493  0.9998  1 Ir 1.98, 1 Ta 2.00
O  0.2492  0.2497  0.4981  1 Ir 1.98, 1 Ta 2.00
O  0.2488  0.7515  0.9998  1 Ir 1.98, 1 Ta 2.00

Values from the calculation:
Formation energy from raw total energies   -1.82 eV per atom

Record 5
# KTaIrO6

A geometry-optimized KTaIrO6 structure (PBE, Alexandria via LeMat-Bulk).

abc: 5.3158 5.3159 6.0175
angles: 90.00 90.00 60.00
With the nearest neighbours (Å) after each atom.
Atoms (fractional coordinates):
K  0.0000  0.0000  0.0000  6 O 2.80
Ta  0.6666  0.6667  0.5000  6 O 2.01
Ir  0.3333  0.3333  0.5000  6 O 1.96
O  0.0070  0.3807  0.3179  1 Ir 1.96, 1 Ta 2.01
O  0.3806  0.0070  0.6821  1 Ir 1.96, 1 Ta 2.01
O  0.6123  0.3807  0.6821  1 Ir 1.96, 1 Ta 2.01
O  0.0070  0.6123  0.6821  1 Ir 1.96, 1 Ta 2.01
O  0.3806  0.6123  0.3179  1 Ir 1.96, 1 Ta 2.01
O  0.6123  0.0070  0.3179  1 Ir 1.96, 1 Ta 2.01

Values from the calculation:
Formation energy from raw total energies   -1.65 eV per atom

Record 6
# K2Tb2IrO6

A geometry-optimized K2Tb2IrO6 structure (PBE, Alexandria via LeMat-Bulk).

abc: 5.7848 5.7848 6.5897
angles: 97.62 97.62 119.51
With the nearest neighbours (Å) after each atom.
Atoms (fractional coordinates):
K  0.8407  0.1593  0.0000  6 O 2.72-3.02
K  0.1593  0.8407  0.0000  6 O 2.72-3.02
Tb  0.3358  0.6642  0.5000  6 O 2.29-2.31
Tb  0.6642  0.3358  0.5000  6 O 2.29-2.31
Ir  0.0000  0.0000  0.5000  6 O 2.10
O  0.7496  0.7496  0.6776  1 Ir 2.10, 2 Tb 2.30
O  0.0475  0.3586  0.6730  1 Ir 2.10, 2 Tb 2.29-2.31
O  0.2504  0.2504  0.3224  1 Ir 2.10, 2 Tb 2.30
O  0.3586  0.0475  0.6730  1 Ir 2.10, 2 Tb 2.29-2.31
O  0.9525  0.6414  0.3270  1 Ir 2.10, 2 Tb 2.29-2.31
O  0.6414  0.9525  0.3270  1 Ir 2.10, 2 Tb 2.29-2.31

Values from the calculation:
Formation energy from raw total energies   -2.14 eV per atom

Record 7
# KTbIrO6

A geometry-optimized KTbIrO6 structure (PBE, Alexandria via LeMat-Bulk).

abc: 5.6452 5.6453 5.7903
angles: 90.00 90.00 60.00
With the nearest neighbours (Å) after each atom.
Atoms (fractional coordinates):
K  0.0000  0.0000  0.0000  6 O 2.81
Tb  0.6666  0.6667  0.5000  6 O 2.26
Ir  0.3333  0.3333  0.5000  6 O 1.90
O  0.0478  0.3544  0.3123  1 Ir 1.90
O  0.3544  0.0478  0.6876  1 Ir 1.90
O  0.5977  0.3545  0.6876  1 Ir 1.90
O  0.0477  0.5978  0.6876  1 Ir 1.90
O  0.3544  0.5978  0.3123  1 Ir 1.90
O  0.5978  0.0478  0.3124  1 Ir 1.90

Values from the calculation:
Formation energy from raw total energies   -1.46 eV per atom

Record 8
# K2TbIrO6

A geometry-optimized K2TbIrO6 structure (PBE, Alexandria via LeMat-Bulk).

abc: 5.9035 5.9035 5.9035
angles: 60.00 60.00 60.00
With the nearest neighbours (Å) after each atom.
Atoms (fractional coordinates):
K  0.7500  0.7500  0.7500  12 O 2.96
K  0.2500  0.2500  0.2500  12 O 2.96
Tb  0.5000  0.5000  0.5000  6 O 2.26
Ir  0.0000  0.0000  0.0000  6 O 1.92
O  0.2298  0.7702  0.7702  1 Ir 1.92
O  0.2298  0.7702  0.2298  1 Ir 1.92
O  0.2298  0.2298  0.7702  1 Ir 1.92
O  0.7702  0.7702  0.2298  1 Ir 1.92
O  0.7702  0.2298  0.2298  1 Ir 1.92
O  0.7702  0.2298  0.7702  1 Ir 1.92

Values from the calculation:
Formation energy from raw total energies   -1.71 eV per atom

Record 9
# K2TeIr3O12

A geometry-optimized K2TeIr3O12 structure (PBE, Alexandria via LeMat-Bulk).

abc: 7.2352 7.2352 7.2352
angles: 59.53 59.53 59.53
With the nearest neighbours (Å) after each atom.
Atoms (fractional coordinates):
K  0.6255  0.6255  0.6255  6 O 3.00-3.15
K  0.3745  0.3745  0.3745  6 O 3.00-3.15
Te  0.0000  0.0000  0.0000  6 O 1.97
Ir  0.5000  0.0000  0.0000  6 O 1.92-2.00
Ir  0.0000  0.5000  0.0000  6 O 1.92-2.00
Ir  0.0000  0.0000  0.5000  6 O 1.92-2.00
O  0.3167  0.3167  0.9226  2 Ir 1.92
O  0.9195  0.9195  0.3295  1 Te 1.97, 1 Ir 2.00
O  0.3295  0.9195  0.9195  1 Te 1.97, 1 Ir 2.00
O  0.9226  0.3167  0.3167  2 Ir 1.92
O  0.9195  0.3295  0.9195  1 Te 1.97, 1 Ir 2.00
O  0.3167  0.9226  0.3167  2 Ir 1.92
O  0.6833  0.6833  0.0774  2 Ir 1.92
O  0.0805  0.0805  0.6705  1 Te 1.97, 1 Ir 2.00
O  0.6705  0.0805  0.0805  1 Te 1.97, 1 Ir 2.00
O  0.0774  0.6833  0.6833  2 Ir 1.92
O  0.0805  0.6705  0.0805  1 Te 1.97, 1 Ir 2.00
O  0.6833  0.0774  0.6833  2 Ir 1.92

Values from the calculation:
Formation energy from raw total energies   -0.96 eV per atom

Record 10
# K2TeIrO6

A geometry-optimized K2TeIrO6 structure (PBE, Alexandria via LeMat-Bulk).

abc: 5.0564 5.6502 5.6502
angles: 90.00 90.00 90.00
With the nearest neighbours (Å) after each atom.
Atoms (fractional coordinates):
K  0.0792  0.5000  0.0000  8 O 2.89-2.93
K  0.0792  0.0000  0.5000  8 O 2.89-2.93
Te  0.6012  0.0000  0.0000  1 O 1.86
Ir  0.5748  0.5000  0.5000  5 O 1.82-1.95
O  0.6662  0.2632  0.2632  1 Ir 1.95, 1 Te 2.13
O  0.6662  0.2632  0.7368  1 Ir 1.95, 1 Te 2.13
O  0.2148  0.5000  0.5000  1 Ir 1.82
O  0.2328  0.0000  0.0000  1 Te 1.86
O  0.6662  0.7368  0.7368  1 Ir 1.95, 1 Te 2.13
O  0.6662  0.7368  0.2632  1 Ir 1.95, 1 Te 2.13

Values from the calculation:
Formation energy from raw total energies   -1.04 eV per atom